Entry 1:
Density functional theory data (PBE) for a geometry-optimized KRbHgPt structure. Values from VASP.

Cell and atoms, written as Quantum ESPRESSO input:
```
&SYSTEM
  ibrav = 0, nat = 4, ntyp = 4
/
ATOMIC_SPECIES
Pt 195.08 Pt.upf
Rb 85.47 Rb.upf
K 39.10 K.upf
Hg 200.59 Hg.upf
CELL_PARAMETERS angstrom
4.8205 -0.0153 -0.0026
-2.3954 4.1832 0.0026
-2.3986 -1.3938 8.2854
ATOMIC_POSITIONS angstrom
Pt 0.6634 2.4035 0.9852
Rb 0.6537 -0.3804 3.1894
K -4.1412 2.4095 7.2657
Hg 3.0690 1.0038 0.9595
```

## Properties
space group = Cm (8)

Entry 2:
Density functional theory data (PBE) for a geometry-optimized KRb4Hg12Pt3 structure. Values from VASP.

Cell and atoms, written as Quantum ESPRESSO input:
```
&SYSTEM
  ibrav = 0, nat = 20, ntyp = 4
/
ATOMIC_SPECIES
Hg 200.59 Hg.upf
Pt 195.08 Pt.upf
Rb 85.47 Rb.upf
K 39.10 K.upf
CELL_PARAMETERS angstrom
-7.1951 -4.0197 5.2623
4.3410 -6.9040 -5.3953
6.5654 4.0470 6.0114
ATOMIC_POSITIONS angstrom
Hg 5.2958 -1.4217 3.1265
Hg 2.4118 -0.7007 5.7909
Hg -2.0940 -8.0147 -0.0976
Hg 1.2996 -6.1762 0.0875
Hg -0.1677 0.0072 3.0023
Hg -0.7601 -2.9091 -0.0354
Hg 8.0020 -2.0962 0.4520
Hg -1.5845 -5.4551 2.7519
Hg 2.9045 -0.7609 0.1641
Hg 4.7397 -4.1595 0.2748
Hg -1.0284 -2.7173 5.6036
Hg -0.4620 0.0200 8.2714
Pt 5.4532 -1.4285 0.3080
Pt -1.4271 -5.4619 -0.0665
Pt -0.3149 0.0136 5.6368
Rb 1.8557 -3.4384 2.9392
Rb 3.2827 2.0235 3.0057
Rb 2.1705 -3.4520 -2.6977
Rb -3.5976 -2.0099 2.6311
K 0.0000 0.0000 0.0000
```

## Properties
space group = Im-3m (229)

Entry 3:
Density functional theory data (PBE) for a geometry-optimized K2RbHgPt structure. Values from VASP.

Cell and atoms, written as Quantum ESPRESSO input:
```
&SYSTEM
  ibrav = 0, nat = 5, ntyp = 4
/
ATOMIC_SPECIES
Hg 200.59 Hg.upf
K 39.10 K.upf
Rb 85.47 Rb.upf
Pt 195.08 Pt.upf
CELL_PARAMETERS angstrom
6.1756 0.0000 0.0000
0.0000 6.1756 0.0000
0.0000 0.0000 6.4538
ATOMIC_POSITIONS angstrom
Hg 3.0878 3.0878 3.2269
K 0.0000 3.0878 0.0000
K 3.0878 0.0000 0.0000
Rb 0.0000 0.0000 3.2269
Pt 0.0000 0.0000 0.0000
```

## Properties
offset from the most stable computed form = 89 meV/atom
space group = P4/mmm (123)

Number 1: total energy -2.249 eV per atom, formation energy -0.147 eV per atom. Number 2: total energy -1.493 eV per atom, formation energy -0.157 eV per atom. Number 3: total energy -1.876 eV per atom, formation energy 0.025 eV per atom.